# 1
Density functional theory data (PBE-GGA) for a relaxed structure of GaSNCl2.

Properties
V ... 23.26 Å³ per atom
ΔE_f (raw) ... 54.46 kJ per mole of atoms
Uncorrected energy ... -3.27 eV/atom

Unit cell a=5.9129 b=5.9129 c=3.3271 alpha=90.00 beta=90.00 gamma=90.00
Space group P4/mmm (No. 123)
Inequivalent atoms, fractional coordinates:
Ga: 0.0000 0.0000 0.0000 (multiplicity 1)
S: 0.5000 0.5000 0.0000 (multiplicity 1)
N: 0.5000 0.5000 0.5000 (multiplicity 1)
Cl: 0.0000 0.5000 0.5000 (multiplicity 2)

***

# 2
Density functional theory data (PBE-GGA) for a relaxed structure of KCrAu2.

Properties
E_form ... 0.054 eV/atom
V ... 27.93 Å³ per atom
Uncorrected energy ... -4.26 eV/atom

Unit cell a=4.6762 b=4.6762 c=17.6976 alpha=90.00 beta=90.00 gamma=120.00
Space group R-3m (No. 166, hexagonal axes)
Inequivalent atoms, fractional coordinates:
K: 0.0000 0.0000 0.0000 (multiplicity 3)
Cr: 0.0000 0.0000 0.5000 (multiplicity 3)
Au: 0.0000 0.0000 0.1910 (multiplicity 6)

***

# 3
Density functional theory data (PBE-GGA) for a relaxed structure of LiHoErSe3.

Properties
V ... 22.96 Å³ per atom
ΔE_f (raw) ... -155.16 kJ per mole of atoms
Uncorrected energy ... -5.19 eV/atom

Unit cell a=8.2839 b=3.9214 c=8.7022 alpha=90.00 beta=102.90 gamma=90.00
Space group P2_1/m (No. 11)
Inequivalent atoms, fractional coordinates:
Li: 0.0867 0.2500 0.0837 (multiplicity 2)
Ho: 0.1866 0.2500 0.7236 (multiplicity 2)
Er: 0.3357 0.7500 0.3344 (multiplicity 2)
Se: 0.0909 0.2500 0.3721 (multiplicity 2)
Se: 0.2264 0.7500 0.9931 (multiplicity 2)
Se: 0.4228 0.7500 0.6723 (multiplicity 2)

***

# 4
Density functional theory data (PBE-GGA) for a relaxed structure of MgBe2C.

Properties
E_form ... 1.439 eV/atom
V ... 11.19 Å³ per atom
Uncorrected energy ... -3.13 eV/atom

Unit cell a=5.6367 b=5.6367 c=5.6367 alpha=90.00 beta=90.00 gamma=90.00
Space group Fm-3m (No. 225)
Inequivalent atoms, fractional coordinates:
Mg: 0.0000 0.0000 0.0000 (multiplicity 4)
Be: 0.2500 0.2500 0.2500 (multiplicity 8)
C: 0.0000 0.0000 0.5000 (multiplicity 4)

***

# 5
Density functional theory data (PBE-GGA) for a relaxed structure of Nd2Ga3Cu4Hg.

Properties
E_form ... -0.353 eV/atom
V ... 18.89 Å³ per atom
Uncorrected energy ... -3.88 eV/atom

Unit cell a=4.2835 b=4.2835 c=10.2975 alpha=90.00 beta=90.00 gamma=90.00
Space group P-4m2 (No. 115)
Inequivalent atoms, fractional coordinates:
Nd: 0.0000 0.5000 0.2363 (multiplicity 2)
Ga: 0.0000 0.5000 0.8786 (multiplicity 2)
Ga: 0.5000 0.5000 0.5000 (multiplicity 1)
Cu: 0.0000 0.0000 0.0000 (multiplicity 1)
Cu: 0.0000 0.5000 0.6460 (multiplicity 2)
Cu: 0.5000 0.5000 0.0000 (multiplicity 1)
Hg: 0.0000 0.0000 0.5000 (multiplicity 1)

***

# 6
Density functional theory data (PBE-GGA) for a relaxed structure of SmY4Tm5.

Properties
E_form ... 0.052 eV/atom
V ... 31.42 Å³ per atom
Uncorrected energy ... -5.24 eV/atom

Unit cell a=16.5930 b=5.4040 c=7.0084 alpha=90.00 beta=90.01 gamma=90.00
Space group Cm (No. 8)
Inequivalent atoms, fractional coordinates:
Sm: 0.0000 0.0000 0.0000 (multiplicity 2)
Y: 0.1105 0.5000 0.2555 (multiplicity 2)
Y: 0.2016 0.0000 0.0022 (multiplicity 2)
Y: 0.3013 0.5000 0.5052 (multiplicity 2)
Y: 0.3914 0.0000 0.2543 (multiplicity 2)
Tm: 0.0017 0.0000 0.5038 (multiplicity 2)
Tm: 0.1105 0.5000 0.7510 (multiplicity 2)
Tm: 0.2000 0.0000 0.5055 (multiplicity 2)
Tm: 0.3011 0.5000 0.0018 (multiplicity 2)
Tm: 0.3914 0.0000 0.7525 (multiplicity 2)

***

# 7
Density functional theory data (PBE-GGA) for a relaxed structure of TbDy5Ho.

Properties
E_form ... 0.192 eV/atom
V ... 31.69 Å³ per atom
Uncorrected energy ... -4.41 eV/atom

Unit cell a=11.6447 b=6.6937 c=12.1568 alpha=90.00 beta=110.56 gamma=90.00
Space group C2/c (No. 15)
Inequivalent atoms, fractional coordinates:
Tb: 0.0000 0.0285 0.2500 (multiplicity 4)
Dy: 0.0000 0.4151 0.7500 (multiplicity 4)
Dy: 0.0795 0.2638 0.5013 (multiplicity 8)
Dy: 0.2188 0.3646 0.2452 (multiplicity 8)
Ho: 0.2500 0.2500 0.0000 (multiplicity 4)

***

# 8
Density functional theory data (PBE-GGA) for a relaxed structure of Cd2WCl.

Properties
V ... 24.82 Å³ per atom
ΔE_f (raw) ... 30.66 kJ per mole of atoms
Uncorrected energy ... -3.84 eV/atom

Unit cell a=2.9532 b=4.9192 c=13.6664 alpha=90.00 beta=90.00 gamma=90.00
Space group Imm2 (No. 44)
Inequivalent atoms, fractional coordinates:
Cd: 0.0000 0.0000 0.0000 (multiplicity 2)
Cd: 0.0000 0.5000 0.1417 (multiplicity 2)
W: 0.0000 0.0000 0.4621 (multiplicity 2)
Cl: 0.0000 0.5000 0.8205 (multiplicity 2)